# 1
A relaxed structure of Tm8Ge3SbSe4. Source: Alexandria via LeMat-Bulk, functional PBE.

abc: 8.238 8.218 8.238
angles: 120.08 120.00 90.00
Element x y z (fractional)
1 Se 0.500 0.000 0.500
2 Se 0.000 0.000 0.500
3 Se 0.000 0.000 0.000
4 Se 0.500 0.000 0.000
5 Tm 0.747 0.260 0.494
6 Tm 0.745 0.735 0.490
7 Tm 0.255 0.265 0.510
8 Tm 0.735 0.740 0.988
9 Tm 0.747 0.260 0.012
10 Tm 0.265 0.260 0.012
11 Tm 0.253 0.740 0.506
12 Tm 0.253 0.740 0.988
13 Ge 0.000 0.500 0.500
14 Ge 0.500 0.500 0.500
15 Ge 0.500 0.500 0.000
16 Sb 0.000 0.500 0.000

As for the total energy: -5.59 eV/atom. For the total magnetization, the calculation gives 0.000 μB/cell. The value obtained for the formation energy without anion corrections is -131 kJ per mole of atoms.

=====

# 2
A relaxed structure of Y8GeSb4Se3. Source: Alexandria via LeMat-Bulk, functional PBE.

abc: 8.506 8.521 8.506
angles: 119.94 120.00 90.00
Element x y z (fractional)
1 Y 0.758 0.263 0.516
2 Y 0.242 0.737 0.484
3 Y 0.248 0.263 0.006
4 Y 0.758 0.263 0.006
5 Y 0.748 0.743 0.495
6 Y 0.252 0.257 0.505
7 Y 0.242 0.737 0.994
8 Y 0.752 0.737 0.994
9 Sb 0.500 0.000 0.000
10 Sb 0.000 0.000 0.500
11 Sb 0.000 0.000 0.000
12 Sb 0.500 0.000 0.500
13 Se 0.500 0.500 0.000
14 Se 0.000 0.500 0.500
15 Se 0.500 0.500 0.500
16 Ge 0.000 0.500 0.000

As for the total energy: -6.60 eV/atom. For the total magnetization, the calculation gives 0.000 μB/cell. The value obtained for the formation energy without anion corrections is -134 kJ per mole of atoms.

=====

# 3
A relaxed structure of Y4GeSbSe2. Source: Alexandria via LeMat-Bulk, functional PBE.

abc: 4.199 7.248 7.307
angles: 70.55 90.00 90.00
Element x y z (fractional)
1 Sb 0.500 0.500 0.000
2 Se 0.500 0.000 0.500
3 Se 0.000 0.000 0.000
4 Y 0.000 0.749 0.737
5 Y 0.000 0.251 0.263
6 Y 0.500 0.742 0.264
7 Y 0.500 0.258 0.736
8 Ge 0.000 0.500 0.500

As for the total energy: -6.65 eV/atom. For the total magnetization, the calculation gives 0.000 μB/cell. The value obtained for the formation energy without anion corrections is -140 kJ per mole of atoms.

=====

# 4
A relaxed structure of Y4GeSb2Se. Source: Alexandria via LeMat-Bulk, functional PBE.

abc: 4.252 7.415 7.375
angles: 70.78 90.00 90.00
Element x y z (fractional)
1 Y 0.000 0.738 0.746
2 Y 0.000 0.262 0.254
3 Y 0.500 0.734 0.260
4 Y 0.500 0.266 0.740
5 Sb 0.000 0.000 0.000
6 Sb 0.500 0.000 0.500
7 Se 0.500 0.500 0.000
8 Ge 0.000 0.500 0.500

As for the total energy: -6.55 eV/atom. For the total magnetization, the calculation gives 0.000 μB/cell. The value obtained for the formation energy without anion corrections is -123 kJ per mole of atoms.

=====

# 5
A relaxed structure of Y6GeSb3Se2. Source: Alexandria via LeMat-Bulk, functional PBE.

abc: 7.371 7.371 7.393
angles: 99.56 99.56 119.94
Element x y z (fractional)
1 Y 0.245 0.245 0.761
2 Y 0.596 0.921 0.763
3 Y 0.079 0.404 0.237
4 Y 0.404 0.079 0.237
5 Y 0.755 0.755 0.239
6 Y 0.921 0.596 0.763
7 Se 0.334 0.666 0.000
8 Se 0.666 0.334 0.000
9 Sb 0.170 0.830 0.500
10 Sb 0.830 0.170 0.500
11 Sb 0.500 0.500 0.500
12 Ge 0.000 0.000 0.000

As for the total energy: -6.59 eV/atom. For the total magnetization, the calculation gives 0.000 μB/cell. The value obtained for the formation energy without anion corrections is -131 kJ per mole of atoms.

=====

# 6
A relaxed structure of ZnGeSbSe2. Source: Alexandria via LeMat-Bulk, functional PBE.

abc: 5.234 4.584 5.234
angles: 90.00 90.00 90.00
Element x y z (fractional)
1 Se 0.500 0.000 0.000
2 Se 0.000 0.000 0.500
3 Ge 0.000 0.000 0.000
4 Sb 0.500 0.500 0.500
5 Zn 0.000 0.500 0.000

As for the total energy: -3.08 eV/atom. For the total magnetization, the calculation gives 0.000 μB/cell. The value obtained for the formation energy without anion corrections is 30 kJ per mole of atoms.

=====

# 7
A relaxed structure of SiGeSb3. Source: Alexandria via LeMat-Bulk, functional PBE.

abc: 5.312 5.312 5.312
angles: 90.00 90.00 90.00
Element x y z (fractional)
1 Sb 0.000 0.000 0.500
2 Sb 0.000 0.500 0.000
3 Sb 0.500 0.000 0.000
4 Ge 0.000 0.000 0.000
5 Si 0.500 0.500 0.500

As for the total energy: -3.52 eV/atom. For the total magnetization, the calculation gives 0.000 μB/cell. The value obtained for the formation energy without anion corrections is 93 kJ per mole of atoms. As for the energy above the most stable polymorph in this dataset: 248 meV/atom.

=====

# 8
A relaxed structure of Si2GeSb2. Source: Alexandria via LeMat-Bulk, functional PBE.

abc: 7.344 7.344 3.969
angles: 90.00 90.00 90.00
Element x y z (fractional)
1 Si 0.380 0.880 0.000
2 Si 0.120 0.380 0.000
3 Si 0.880 0.620 0.000
4 Si 0.620 0.120 0.000
5 Ge 0.000 0.000 0.000
6 Ge 0.500 0.500 0.000
7 Sb 0.186 0.686 0.500
8 Sb 0.814 0.314 0.500
9 Sb 0.686 0.814 0.500
10 Sb 0.314 0.186 0.500

As for the total energy: -4.29 eV/atom. For the total magnetization, the calculation gives 0.000 μB/cell. The value obtained for the formation energy without anion corrections is 44 kJ per mole of atoms.

=====

# 9
A relaxed structure of SiGeSb2. Source: Alexandria via LeMat-Bulk, functional PBE.

abc: 6.828 6.828 7.001
angles: 60.81 60.81 90.00
Element x y z (fractional)
1 Ge 0.000 0.000 0.000
2 Ge 0.750 0.250 0.500
3 Si 0.500 0.500 0.000
4 Si 0.250 0.750 0.500
5 Sb 0.602 0.125 0.250
6 Sb 0.375 0.398 0.750
7 Sb 0.148 0.625 0.250
8 Sb 0.875 0.852 0.750

As for the total energy: -4.24 eV/atom. For the total magnetization, the calculation gives 0.000 μB/cell. The value obtained for the formation energy without anion corrections is 32 kJ per mole of atoms. As for the energy above the most stable polymorph in this dataset: 0 meV/atom.

=====

# 10
A relaxed structure of Si3GeSb. Source: Alexandria via LeMat-Bulk, functional PBE.

abc: 4.808 4.808 4.808
angles: 90.00 90.00 90.00
Element x y z (fractional)
1 Ge 0.000 0.000 0.000
2 Si 0.500 0.000 0.000
3 Si 0.000 0.500 0.000
4 Si 0.000 0.000 0.500
5 Sb 0.500 0.500 0.500

As for the total energy: -4.09 eV/atom. For the total magnetization, the calculation gives 0.000 μB/cell. The value obtained for the formation energy without anion corrections is 88 kJ per mole of atoms. As for the energy above the most stable polymorph in this dataset: 0 meV/atom.

=====

# 11
A relaxed structure of SiGe2Sb. Source: Alexandria via LeMat-Bulk, functional PBE.

abc: 6.156 6.156 7.085
angles: 64.25 64.25 90.00
Element x y z (fractional)
1 Ge 0.875 0.831 0.750
2 Ge 0.581 0.125 0.250
3 Ge 0.375 0.419 0.750
4 Ge 0.169 0.625 0.250
5 Sb 0.000 0.000 0.000
6 Sb 0.750 0.250 0.500
7 Si 0.250 0.750 0.500
8 Si 0.500 0.500 0.000

As for the total energy: -4.49 eV/atom. For the total magnetization, the calculation gives 0.000 μB/cell. The value obtained for the formation energy without anion corrections is 20 kJ per mole of atoms. As for the energy above the most stable polymorph in this dataset: 0 meV/atom.

=====

# 12
A relaxed structure of SiGeSb. Source: Alexandria via LeMat-Bulk, functional PBE.

abc: 5.734 5.734 5.711
angles: 88.46 128.25 114.21
Element x y z (fractional)
1 Si 0.751 0.007 0.757
2 Si 0.249 0.993 0.243
3 Sb 0.248 0.657 0.905
4 Sb 0.752 0.343 0.095
5 Ge 0.500 0.500 0.500
6 Ge 0.000 0.000 0.500

As for the total energy: -4.37 eV/atom. For the total magnetization, the calculation gives 0.000 μB/cell. The value obtained for the formation energy without anion corrections is 34 kJ per mole of atoms.

=====

# 13
A relaxed structure of SiGe2Sb. Source: Alexandria via LeMat-Bulk, functional PBE.

abc: 4.871 4.871 4.871
angles: 60.00 60.00 60.00
Element x y z (fractional)
1 Sb 0.500 0.500 0.500
2 Si 0.000 0.000 0.000
3 Ge 0.250 0.250 0.250
4 Ge 0.750 0.750 0.750

As for the total energy: -4.23 eV/atom. For the total magnetization, the calculation gives 0.000 μB/cell. The value obtained for the formation energy without anion corrections is 45 kJ per mole of atoms. As for the energy above the most stable polymorph in this dataset: 258 meV/atom.

=====

# 14
A relaxed structure of SiGeSb2. Source: Alexandria via LeMat-Bulk, functional PBE.

abc: 5.010 5.010 5.010
angles: 60.00 60.00 60.00
Element x y z (fractional)
1 Sb 0.250 0.250 0.250
2 Sb 0.750 0.750 0.750
3 Si 0.000 0.000 0.000
4 Ge 0.500 0.500 0.500

As for the total energy: -4.15 eV/atom. For the total magnetization, the calculation gives 0.000 μB/cell. The value obtained for the formation energy without anion corrections is 40 kJ per mole of atoms. As for the energy above the most stable polymorph in this dataset: 82 meV/atom.

=====

# 15
A relaxed structure of SiGeSb3. Source: Alexandria via LeMat-Bulk, functional PBE.

abc: 5.203 5.203 5.203
angles: 90.00 90.00 90.00
Element x y z (fractional)
1 Sb 0.000 0.500 0.000
2 Sb 0.000 0.000 0.500
3 Sb 0.500 0.000 0.000
4 Ge 0.500 0.500 0.500
5 Si 0.000 0.000 0.000

As for the total energy: -3.76 eV/atom. For the total magnetization, the calculation gives 0.000 μB/cell. The value obtained for the formation energy without anion corrections is 69 kJ per mole of atoms. As for the energy above the most stable polymorph in this dataset: 0 meV/atom.

=====

# 16
A relaxed structure of SrSiGe2Sb. Source: Alexandria via LeMat-Bulk, functional PBE.

abc: 5.408 5.216 5.408
angles: 90.00 90.00 90.00
Element x y z (fractional)
1 Sb 0.000 0.000 0.000
2 Sr 0.500 0.500 0.500
3 Si 0.000 0.500 0.000
4 Ge 0.500 0.000 0.000
5 Ge 0.000 0.000 0.500

As for the total energy: -3.61 eV/atom. For the total magnetization, the calculation gives 0.000 μB/cell. The value obtained for the formation energy without anion corrections is 46 kJ per mole of atoms.

=====

# 17
A relaxed structure of Th4SiGeSb2. Source: Alexandria via LeMat-Bulk, functional PBE.

abc: 4.364 7.723 7.559
angles: 70.90 90.00 90.00
Element x y z (fractional)
1 Sb 0.000 0.000 0.000
2 Sb 0.500 0.000 0.500
3 Th 0.000 0.274 0.240
4 Th 0.500 0.273 0.745
5 Th 0.000 0.726 0.760
6 Th 0.500 0.727 0.255
7 Si 0.500 0.500 0.000
8 Ge 0.000 0.500 0.500

As for the total energy: -6.84 eV/atom. For the total magnetization, the calculation gives 0.000 μB/cell. The value obtained for the formation energy without anion corrections is -82 kJ per mole of atoms.

=====

# 18
A relaxed structure of Ti2SiGeSb. Source: Alexandria via LeMat-Bulk, functional PBE.

abc: 5.073 5.010 5.073
angles: 90.00 90.00 90.00
Element x y z (fractional)
1 Ge 0.500 0.500 0.500
2 Ti 0.500 0.000 0.000
3 Ti 0.000 0.000 0.500
4 Si 0.000 0.500 0.000
5 Sb 0.000 0.000 0.000

As for the total energy: -4.90 eV/atom. For the total magnetization, the calculation gives 0.000 μB/cell. The value obtained for the formation energy without anion corrections is 105 kJ per mole of atoms.

=====

# 19
A relaxed structure of Sm8GeSb2. Source: Alexandria via LeMat-Bulk, functional PBE.

abc: 4.723 7.701 9.637
angles: 93.76 104.18 90.00
Element x y z (fractional)
1 Sm 0.001 0.235 0.002
2 Sm 0.783 0.640 0.566
3 Sm 0.999 0.765 0.998
4 Sm 0.658 0.042 0.316
5 Sm 0.402 0.476 0.804
6 Sm 0.342 0.958 0.684
7 Sm 0.217 0.360 0.434
8 Sm 0.598 0.524 0.196
9 Ge 0.500 0.000 0.000
10 Sb 0.176 0.774 0.352
11 Sb 0.824 0.226 0.648

As for the total energy: -5.12 eV/atom. For the total magnetization, the calculation gives 0.000 μB/cell. The value obtained for the formation energy without anion corrections is -50 kJ per mole of atoms.

=====

# 20
A relaxed structure of Sm5Ge2Sb. Source: Alexandria via LeMat-Bulk, functional PBE.

abc: 8.003 8.003 8.948
angles: 116.56 116.56 90.00
Last column: magnetic moment on the atom in μB.
Element x y z (fractional)
1 Ge 0.642 0.142 0.000  -0.01
2 Ge 0.358 0.858 0.000  -0.01
3 Ge 0.142 0.358 0.000  -0.01
4 Ge 0.858 0.642 0.000  -0.01
5 Sm 0.518 0.699 0.716  0.20
6 Sm 0.000 0.000 0.000  0.30
7 Sm 0.699 0.199 0.716  0.20
8 Sm 0.482 0.301 0.284  0.20
9 Sm 0.801 0.982 0.284  0.20
10 Sm 0.018 0.518 0.716  0.20
11 Sm 0.500 0.500 0.000  0.30
12 Sm 0.301 0.801 0.284  0.20
13 Sm 0.199 0.018 0.716  0.20
14 Sm 0.982 0.482 0.284  0.20
15 Sb 0.250 0.250 0.500  -0.02
16 Sb 0.750 0.750 0.500  -0.02

As for the total energy: -5.41 eV/atom. For the total magnetization, the calculation gives 4.461 μB/cell. The value obtained for the formation energy without anion corrections is -77 kJ per mole of atoms.